[1]
The following is a PBE calculation of an optimized crystal structure of Zn3InRh, from Alexandria.

## Properties
The calculation puts the formation energy at 0.094 eV per atom. As for the size of the total moment: 0.000 μB/cell. For the energy above the most stable polymorph in this dataset, the calculation gives 0.0 meV/atom.

abc: 4.8256 4.8256 4.8256
angles: 90.00 90.00 90.00
Closest atoms and distances in Å follow each position.
Atoms (fractional coordinates):
Zn (0.0000, 0.5000, 0.0000)  2 Rh 2.41
Zn (0.0000, 0.0000, 0.5000)  2 Rh 2.41
Zn (0.5000, 0.0000, 0.0000)  2 Rh 2.41
Rh (0.0000, 0.0000, 0.0000)  6 Zn 2.41
In (0.5000, 0.5000, 0.5000)  12 Zn 3.41

=====

[2]
The following is a PBE calculation of an optimized crystal structure of Zn2InRh2, from Alexandria.

## Properties
The calculation puts the formation energy at -0.014 eV per atom. As for the size of the total moment: 0.000 μB/cell. For the energy above the most stable polymorph in this dataset, the calculation gives 286.0 meV/atom.

abc: 4.4924 4.4924 5.3470
angles: 65.16 65.16 90.00
Closest atoms and distances in Å follow each position.
Atoms (fractional coordinates):
Zn (0.3628, 0.3628, 0.2744)  1 Zn 2.36, 4 Rh 2.45
Zn (0.6372, 0.6372, 0.7256)  1 Zn 2.36, 4 Rh 2.45
Rh (0.7500, 0.2500, 0.5000)  4 Zn 2.45
Rh (0.2500, 0.7500, 0.5000)  4 Zn 2.45
In (0.0000, 0.0000, 0.0000)  8 Rh 3.11, 10 Zn 3.12-3.39

=====

[3]
The following is a PBE calculation of an optimized crystal structure of ZnInRh2, from Alexandria.

## Properties
The calculation puts the formation energy at -0.434 eV per atom. As for the size of the total moment: 0.000 μB/cell.

abc: 4.4324 4.4324 4.4324
angles: 60.00 60.00 60.00
Closest atoms and distances in Å follow each position.
Atoms (fractional coordinates):
Zn (0.7500, 0.7500, 0.7500)  8 Rh 2.71
Rh (0.0000, 0.0000, 0.0000)  4 In 2.71, 4 Zn 2.71
Rh (0.5000, 0.5000, 0.5000)  4 Zn 2.71, 4 In 2.71
In (0.2500, 0.2500, 0.2500)  8 Rh 2.71

=====

[4]
The following is a PBE calculation of an optimized crystal structure of ZnIn4Rh5, from Alexandria.

## Properties
The calculation puts the formation energy at -0.428 eV per atom. As for the size of the total moment: 0.000 μB/cell.

abc: 3.1985 3.1985 15.9329
angles: 90.00 90.00 90.00
Closest atoms and distances in Å follow each position.
Atoms (fractional coordinates):
Zn (0.0000, 0.0000, 0.0000)  8 Rh 2.69
In (0.0000, 0.0000, 0.1902)  8 Rh 2.76-2.81, 1 Zn 3.03
In (0.0000, 0.0000, 0.3969)  8 Rh 2.78-2.80
In (0.0000, 0.0000, 0.6031)  8 Rh 2.78-2.80
In (0.0000, 0.0000, 0.8098)  8 Rh 2.76-2.81, 1 Zn 3.03
Rh (0.5000, 0.5000, 0.0909)  4 Zn 2.69, 4 In 2.76, 1 Rh 2.90
Rh (0.5000, 0.5000, 0.2952)  8 In 2.78-2.81
Rh (0.5000, 0.5000, 0.5000)  8 In 2.80
Rh (0.5000, 0.5000, 0.7048)  8 In 2.78-2.81
Rh (0.5000, 0.5000, 0.9091)  4 Zn 2.69, 4 In 2.76, 1 Rh 2.90

=====

[5]
The following is a PBE calculation of an optimized crystal structure of ZnIn2Rh, from Alexandria.

## Properties
The calculation puts the formation energy at -0.040 eV per atom. As for the size of the total moment: 0.000 μB/cell.

abc: 8.8435 8.8435 8.8435
angles: 21.05 21.05 21.05
Closest atoms and distances in Å follow each position.
Atoms (fractional coordinates):
In (0.9945, 0.9945, 0.9945)  3 Rh 2.75, 3 Zn 2.96
In (0.5055, 0.5055, 0.5055)  3 Rh 2.75, 3 Zn 2.96
Rh (0.2500, 0.2500, 0.2500)  6 In 2.75
Zn (0.7500, 0.7500, 0.7500)  6 In 2.96, 6 Zn 3.23

=====

[6]
The following is a PBE calculation of an optimized crystal structure of Zn2InRh, from Alexandria.

## Properties
The calculation puts the formation energy at -0.178 eV per atom. As for the size of the total moment: 0.000 μB/cell.

abc: 4.2352 3.0659 5.3921
angles: 72.70 90.00 90.00
Closest atoms and distances in Å follow each position.
Atoms (fractional coordinates):
In (0.0000, 0.5468, 0.5457)  3 Zn 2.70-2.90, 4 Rh 2.80-2.81
Rh (0.5000, 0.9412, 0.7423)  5 Zn 2.56-2.84, 4 In 2.80-2.81
Zn (0.0000, 0.8020, 0.0220)  2 Rh 2.56, 1 In 2.70, 4 Zn 2.75-2.76
Zn (0.5000, 0.2101, 0.1900)  6 Zn 2.75-3.07, 3 Rh 2.76-2.84

=====

[7]
The following is a PBE calculation of an optimized crystal structure of ZnIn2Rh, from Alexandria.

## Properties
The calculation puts the formation energy at -0.033 eV per atom. As for the size of the total moment: 0.000 μB/cell.

abc: 9.2150 9.2150 9.2150
angles: 19.95 19.95 19.95
Closest atoms and distances in Å follow each position.
Atoms (fractional coordinates):
In (0.0053, 0.0053, 0.0053)  3 Zn 3.06, 9 In 3.19-3.32
In (0.2368, 0.2368, 0.2368)  3 Rh 2.74
Rh (0.4954, 0.4954, 0.4954)  3 Zn 2.57, 3 In 2.74
Zn (0.7624, 0.7624, 0.7624)  3 Rh 2.57

=====

[8]
The following is a PBE calculation of an optimized crystal structure of Zn2InRh, from Alexandria.

## Properties
The calculation puts the formation energy at -0.154 eV per atom. As for the size of the total moment: 0.000 μB/cell.

abc: 3.1227 4.6101 5.5884
angles: 53.77 90.00 90.00
Closest atoms and distances in Å follow each position.
Atoms (fractional coordinates):
In (0.5000, 0.5000, 0.5000)  4 Rh 2.78, 6 Zn 2.79-2.82
Rh (0.0000, 0.0000, 0.5000)  4 In 2.78, 6 Zn 2.79-2.82
Zn (0.0000, 0.0000, 0.0000)  4 Zn 2.78, 2 Rh 2.79, 4 In 2.82
Zn (0.5000, 0.5000, 0.0000)  4 Zn 2.78, 2 In 2.79, 4 Rh 2.82

=====

[9]
The following is a PBE calculation of an optimized crystal structure of ZnInRh2, from Alexandria.

## Properties
The calculation puts the formation energy at -0.186 eV per atom. As for the size of the total moment: 0.000 μB/cell.

abc: 4.9712 4.9712 4.9712
angles: 133.86 133.86 67.31
Closest atoms and distances in Å follow each position.
Atoms (fractional coordinates):
In (0.7500, 0.2500, 0.5000)  8 Rh 2.76-2.84, 4 Zn 2.84
Rh (0.0000, 0.0000, 0.0000)  4 Zn 2.76, 4 In 2.84, 4 Rh 2.84
Rh (0.2500, 0.7500, 0.5000)  4 In 2.76, 4 Rh 2.84, 4 Zn 2.84
Zn (0.5000, 0.5000, 0.0000)  8 Rh 2.76-2.84, 4 In 2.84

=====

[10]
The following is a PBE calculation of an optimized crystal structure of ZnIn2Rh, from Alexandria.

## Properties
The calculation puts the formation energy at -0.116 eV per atom. As for the size of the total moment: 0.000 μB/cell.

abc: 5.1903 5.1903 5.1903
angles: 133.79 133.79 67.42
Closest atoms and distances in Å follow each position.
Atoms (fractional coordinates):
In (0.0000, 0.0000, 0.0000)  4 Rh 2.88, 4 In 2.97, 4 Zn 2.97
In (0.2500, 0.7500, 0.5000)  4 Zn 2.88, 4 Rh 2.97, 4 In 2.97
Rh (0.5000, 0.5000, 0.0000)  8 In 2.88-2.97, 4 Zn 2.97
Zn (0.7500, 0.2500, 0.5000)  8 In 2.88-2.97, 4 Rh 2.97

=====

[11]
The following is a PBE calculation of an optimized crystal structure of Zn2In2Rh3, from Alexandria.

## Properties
The calculation puts the formation energy at -0.323 eV per atom. As for the size of the total moment: 0.000 μB/cell.

abc: 4.4979 4.5028 7.7260
angles: 90.02 117.34 120.17
Closest atoms and distances in Å follow each position.
Atoms (fractional coordinates):
Zn (0.4182, 0.2092, 0.3970)  5 Rh 2.59-2.73, 2 Zn 2.63-2.64
Zn (0.5818, 0.7908, 0.6030)  5 Rh 2.59-2.73, 2 Zn 2.63-2.64
In (0.8266, 0.4137, 0.1566)  7 Rh 2.70-2.84, 1 Zn 3.02
In (0.1734, 0.5863, 0.8434)  7 Rh 2.70-2.84, 1 Zn 3.02
Rh (0.0000, 0.0000, 0.0000)  2 Zn 2.60, 6 In 2.77-2.80
Rh (0.3814, 0.1901, 0.7222)  4 Zn 2.59-2.73, 4 In 2.70-2.84
Rh (0.6186, 0.8099, 0.2778)  4 Zn 2.59-2.73, 4 In 2.70-2.84

=====

[12]
The following is a PBE calculation of an optimized crystal structure of ZnIn2Rh2, from Alexandria.

## Properties
The calculation puts the formation energy at -0.366 eV per atom. As for the size of the total moment: 0.000 μB/cell.

abc: 6.6180 6.6180 4.0509
angles: 90.00 90.00 90.00
Closest atoms and distances in Å follow each position.
Atoms (fractional coordinates):
Zn (0.0000, 0.0000, 0.0000)  4 Rh 2.53
Zn (0.5000, 0.5000, 0.0000)  4 Rh 2.53
Rh (0.3523, 0.8523, 0.0000)  2 Zn 2.53, 2 In 2.71, 1 Rh 2.76
Rh (0.8523, 0.6477, 0.0000)  2 Zn 2.53, 2 In 2.71, 1 Rh 2.76
Rh (0.6477, 0.1477, 0.0000)  2 Zn 2.53, 2 In 2.71, 1 Rh 2.76
Rh (0.1477, 0.3523, 0.0000)  2 Zn 2.53, 2 In 2.71, 1 Rh 2.76
In (0.1600, 0.6600, 0.5000)  6 Rh 2.71-2.87, 1 In 3.00
In (0.6600, 0.8400, 0.5000)  6 Rh 2.71-2.87, 1 In 3.00
In (0.8400, 0.3400, 0.5000)  6 Rh 2.71-2.87, 1 In 3.00
In (0.3400, 0.1600, 0.5000)  6 Rh 2.71-2.87, 1 In 3.00

=====

Question: Number 11 is which compound?
Answer: Zn2In2Rh3